1.
First-principles (PBE) data for an optimized crystal structure of TbPuTlPb, as listed in Alexandria via LeMat-Bulk.

Values from the calculation:
E_form	-0.20	eV/atom
crystal system	cubic

Lattice parameters (Å, degrees): 7.683 7.683 7.683 90.00 90.00 90.00
Space group F-43m (No. 216)
Symmetry-distinct sites (fractional):
1 Tb 0.000 0.000 0.000
2 Pu 0.000 0.000 0.500
3 Tl 0.250 0.250 0.750
4 Pb 0.250 0.250 0.250

2.
First-principles (PBE) data for an optimized crystal structure of CeTmH, as listed in Alexandria via LeMat-Bulk.

Values from the calculation:
E above lowest polymorph	90	meV per atom
crystal system	monoclinic

Lattice parameters (Å, degrees): 11.169 3.262 8.447 90.00 126.75 90.00
Space group C2/m (No. 12)
Symmetry-distinct sites (fractional):
1 Ce 0.039 0.000 0.373
2 Tm 0.179 0.500 0.114
3 H 0.159 0.500 0.840

3.
First-principles (PBE) data for an optimized crystal structure of NdGaNi3Ge, as listed in Alexandria via LeMat-Bulk.

Values from the calculation:
E_form	-0.34	eV/atom
crystal system	orthorhombic

Lattice parameters (Å, degrees): 6.198 11.685 5.563 90.00 90.00 90.00
Space group Cmcm (No. 63)
Symmetry-distinct sites (fractional):
1 Nd 0.000 0.214 0.250
2 Ga 0.000 0.466 0.250
3 Ni 0.000 0.331 0.750
4 Ni 0.200 0.000 0.000
5 Ge 0.000 0.129 0.750

4.
First-principles (PBE) data for an optimized crystal structure of La11Nd4Dy9, as listed in Alexandria via LeMat-Bulk.

Values from the calculation:
E_form	0.07	eV/atom
crystal system	orthorhombic

Lattice parameters (Å, degrees): 17.228 26.009 3.750 90.00 90.00 90.00
Space group Cmmm (No. 65)
Symmetry-distinct sites (fractional):
1 La 0.000 0.000 0.000
2 La 0.000 0.159 0.000
3 La 0.000 0.367 0.000
4 La 0.209 0.500 0.000
5 La 0.226 0.181 0.000
6 Nd 0.156 0.399 0.500
7 Dy 0.000 0.500 0.500
8 Dy 0.101 0.265 0.500
9 Dy 0.139 0.073 0.500

5.
First-principles (PBE) data for an optimized crystal structure of Zr2BeSnN, as listed in Alexandria via LeMat-Bulk.

Values from the calculation:
crystal system	tetragonal
raw formation energy	-0.62	eV/atom

Lattice parameters (Å, degrees): 4.791 4.791 3.443 90.00 90.00 90.00
Space group P4/mmm (No. 123)
Symmetry-distinct sites (fractional):
1 Zr 0.000 0.500 0.000
2 Be 0.000 0.000 0.500
3 Sn 0.500 0.500 0.500
4 N 0.000 0.000 0.000

6.
First-principles (PBE) data for an optimized crystal structure of AlRu3, as listed in Alexandria via LeMat-Bulk.

Values from the calculation:
E_form	-0.17	eV/atom
crystal system	orthorhombic

Lattice parameters (Å, degrees): 4.785 8.625 5.432 90.00 90.00 90.00
Space group Pnma (No. 62)
Symmetry-distinct sites (fractional):
1 Al 0.072 0.250 0.114
2 Ru 0.077 0.250 0.631
3 Ru 0.238 0.001 0.373

| no. | uncorrected energy (eV per formula unit) |
| --- | --- |
| 1 | -25.86 |
| 2 | -14.04 |
| 3 | -31.81 |
| 4 | -113.07 |
| 5 | -36.23 |
| 6 | -32.24 |